1.
Density functional theory data (PBE-GGA) for a relaxed structure of Pr12DyEr2.

Calculated values
Crystal system: orthorhombic
Spin magnetization in μB per formula unit: 0.00
Formation energy in eV per atom: 0.16

Unit cell a=7.245 b=11.722 c=25.184 alpha=90.00 beta=90.00 gamma=90.00
Space group Cmme (No. 67)
Asymmetric unit:
Pr1 0.000 0.002 0.073 x8
Pr2 0.000 0.024 0.560 x8
Pr3 0.230 0.250 0.414 x8
Pr4 0.249 0.250 0.869 x8
Pr5 0.250 0.000 0.198 x8
Pr6 0.250 0.000 0.324 x8
Dy1 0.000 0.250 0.999 x4
Er1 0.000 0.250 0.267 x4
Er2 0.000 0.250 0.730 x4


2.
Density functional theory data (PBE-GGA) for a relaxed structure of Pr2DyEr2.

Calculated values
Crystal system: orthorhombic
Distance to the lowest polymorph of the same formula in meV/atom: 279
Spin magnetization in μB per formula unit: 0.00
Formation energy in eV per atom: 0.29

Unit cell a=6.889 b=16.267 c=6.255 alpha=90.00 beta=90.00 gamma=90.00
Space group Cmcm (No. 63)
Asymmetric unit:
Pr1 0.000 0.100 0.250 x4
Pr2 0.000 0.330 0.750 x4
Dy1 0.000 0.500 0.000 x4
Er1 0.239 0.330 0.250 x8


3.
Density functional theory data (PBE-GGA) for a relaxed structure of PrDy5Er12.

Calculated values
Crystal system: monoclinic
Spin magnetization in μB per formula unit: 0.00
Formation energy in eV per atom: 0.02

Unit cell a=18.317 b=10.566 c=6.110 alpha=90.00 beta=109.36 gamma=90.00
Space group C2/m (No. 12)
Asymmetric unit:
Pr1 0.000 0.000 0.000 x2
Dy1 0.000 0.500 0.500 x2
Dy2 0.167 0.000 0.502 x4
Dy3 0.167 0.500 0.000 x4
Er1 0.000 0.168 0.500 x4
Er2 0.000 0.334 0.000 x4
Er3 0.167 0.168 0.000 x8
Er4 0.167 0.333 0.499 x8


4.
Density functional theory data (PBE-GGA) for a relaxed structure of PrDy6Er3.

Calculated values
Crystal system: orthorhombic
Spin magnetization in μB per formula unit: 0.00
Formation energy in eV per atom: 0.15

Unit cell a=10.998 b=18.913 c=6.182 alpha=90.00 beta=90.00 gamma=90.00
Space group Cmc2_1 (No. 36)
Asymmetric unit:
Pr1 0.000 0.206 0.000 x4
Dy1 0.000 0.046 0.240 x4
Dy2 0.000 0.285 0.511 x4
Dy3 0.165 0.454 0.621 x8
Dy4 0.250 0.210 0.288 x8
Er1 0.000 0.390 0.079 x4
Er2 0.174 0.109 0.695 x8


5.
Density functional theory data (PBE-GGA) for a relaxed structure of Pr5Dy3Er.

Calculated values
Crystal system: monoclinic
Distance to the lowest polymorph of the same formula in meV/atom: 0
Spin magnetization in μB per formula unit: 0.00
Formation energy in eV per atom: 0.26

Unit cell a=18.954 b=6.521 c=11.609 alpha=90.00 beta=116.19 gamma=90.00
Space group C2/c (No. 15)
Asymmetric unit:
Pr1 0.000 0.102 0.250 x4
Pr2 0.163 0.190 0.710 x8
Pr3 0.174 0.325 0.359 x8
Dy1 0.000 0.500 0.000 x4
Dy2 0.160 0.209 0.013 x8
Er1 0.000 0.377 0.750 x4


6.
Density functional theory data (PBE-GGA) for a relaxed structure of Pr6Dy5Er.

Calculated values
Crystal system: orthorhombic
Distance to the lowest polymorph of the same formula in meV/atom: 5
Spin magnetization in μB per formula unit: 0.00
Formation energy in eV per atom: 0.02

Unit cell a=5.165 b=10.133 c=15.432 alpha=90.00 beta=90.00 gamma=90.00
Space group Immm (No. 71)
Asymmetric unit:
Pr1 0.000 0.250 0.000 x4
Pr2 0.000 0.250 0.333 x8
Dy1 0.000 0.000 0.167 x4
Dy2 0.000 0.000 0.500 x2
Dy3 0.000 0.500 0.167 x4
Er1 0.000 0.500 0.500 x2


7.
Density functional theory data (PBE-GGA) for a relaxed structure of Pr4Dy3Er.

Calculated values
Crystal system: orthorhombic
Distance to the lowest polymorph of the same formula in meV/atom: 0
Spin magnetization in μB per formula unit: 0.00
Formation energy in eV per atom: 0.03

Unit cell a=11.674 b=7.354 c=6.329 alpha=90.00 beta=90.00 gamma=90.00
Space group Pmn2_1 (No. 31)
Asymmetric unit:
Pr1 0.000 0.128 0.000 x2
Pr2 0.000 0.872 0.496 x2
Pr3 0.248 0.871 0.835 x4
Dy1 0.000 0.379 0.501 x2
Dy2 0.250 0.380 0.832 x4
Er1 0.000 0.619 0.000 x2


8.
Density functional theory data (PBE-GGA) for a relaxed structure of Pr7Dy2Er.

Calculated values
Crystal system: orthorhombic
Distance to the lowest polymorph of the same formula in meV/atom: 259
Spin magnetization in μB per formula unit: 0.00
Formation energy in eV per atom: 0.63

Unit cell a=8.904 b=16.674 c=5.667 alpha=90.00 beta=90.00 gamma=90.00
Space group Cmmm (No. 65)
Asymmetric unit:
Pr1 0.000 0.000 0.000 x2
Pr2 0.000 0.281 0.500 x4
Pr3 0.180 0.388 0.000 x8
Dy1 0.000 0.205 0.000 x4
Er1 0.000 0.500 0.500 x2


Number 1: electronic total energy -4.583 eV/atom. Number 2: electronic total energy -4.367 eV/atom. Number 3: electronic total energy -4.564 eV/atom. Number 4: electronic total energy -4.456 eV/atom. Number 5: electronic total energy -4.433 eV/atom. Number 6: electronic total energy -4.671 eV/atom. Number 7: electronic total energy -4.655 eV/atom. Number 8: electronic total energy -4.096 eV/atom.